<1>
Material: La5Tb4Y
Method: DFT, PBE-GGA
State: relaxed

a b c (Å): 11.538 6.840 9.241
angles (deg): 90.00 90.00 90.00
Element x y z (fractional)
La  0.283  0.746  0.817
La  0.283  0.254  0.817
La  0.789  0.500  0.000
La  0.283  0.746  0.183
La  0.283  0.254  0.183
La  0.717  0.754  0.317
La  0.717  0.246  0.317
La  0.211  0.000  0.500
La  0.717  0.246  0.683
La  0.717  0.754  0.683
Tb  0.994  0.000  0.698
Tb  0.544  0.754  0.000
Tb  0.544  0.246  0.000
Tb  0.994  0.000  0.302
Tb  0.006  0.500  0.198
Tb  0.456  0.746  0.500
Tb  0.456  0.254  0.500
Tb  0.006  0.500  0.802
Y  0.823  0.000  0.000
Y  0.177  0.500  0.500

Results
Symmetry: Pmmn (59)


<2>
Material: La5Tb4Y
Method: DFT, PBE-GGA
State: relaxed

a b c (Å): 3.558 11.245 9.284
angles (deg): 73.31 101.05 90.00
Element x y z (fractional)
La  0.792  0.603  0.584
La  0.896  0.288  0.792
La  0.104  0.712  0.208
La  0.500  0.500  0.000
La  0.208  0.397  0.416
Tb  0.304  0.079  0.607
Tb  0.905  0.811  0.810
Tb  0.696  0.921  0.393
Tb  0.095  0.189  0.190
Y  0.500  0.000  0.000

Results
Symmetry: C2/m (12)


Stability, highest: <2>


<1>
Material: La2Tb12Y5
Method: DFT, PBE-GGA
State: relaxed

a b c (Å): 9.238 12.502 8.595
angles (deg): 132.47 90.00 111.68
Element x y z (fractional)
La  0.687  0.000  0.000
La  0.313  0.000  0.000
Tb  0.094  0.188  0.304
Tb  0.024  0.687  0.932
Tb  0.663  0.687  0.932
Tb  0.183  0.749  0.401
Tb  0.566  0.749  0.401
Tb  0.559  0.117  0.787
Tb  0.441  0.883  0.213
Tb  0.817  0.251  0.599
Tb  0.434  0.251  0.599
Tb  0.976  0.313  0.068
Tb  0.337  0.313  0.068
Tb  0.906  0.812  0.696
Y  0.302  0.603  0.612
Y  0.233  0.466  0.890
Y  0.000  0.000  0.500
Y  0.767  0.534  0.110
Y  0.698  0.397  0.388

Results
Symmetry: C2/m (12)


<2>
Material: La2Tb12Y5
Method: DFT, PBE-GGA
State: relaxed

a b c (Å): 6.307 12.163 17.383
angles (deg): 151.38 102.59 79.97
Element x y z (fractional)
La  0.741  0.045  0.988
La  0.259  0.955  0.012
Tb  0.165  0.115  0.293
Tb  0.267  0.535  0.895
Tb  0.762  0.746  0.963
Tb  0.086  0.547  0.379
Tb  0.541  0.750  0.424
Tb  0.314  0.095  0.761
Tb  0.686  0.905  0.239
Tb  0.914  0.453  0.621
Tb  0.459  0.250  0.576
Tb  0.733  0.465  0.105
Tb  0.238  0.254  0.037
Tb  0.835  0.885  0.707
Y  0.356  0.663  0.657
Y  0.214  0.687  0.174
Y  0.000  0.000  0.500
Y  0.786  0.313  0.826
Y  0.644  0.337  0.343

Results
Symmetry: P-1 (2)


Stability, highest: <2>


<1>
Material: LaTb2Y7
Method: DFT, PBE-GGA
State: relaxed

a b c (Å): 6.219 9.497 6.206
angles (deg): 108.98 99.71 102.56
Element x y z (fractional)
La  0.000  0.000  0.000
Tb  0.499  0.698  0.599
Tb  0.501  0.302  0.401
Y  0.999  0.798  0.398
Y  0.001  0.202  0.602
Y  0.998  0.599  0.798
Y  0.002  0.401  0.202
Y  0.500  0.899  0.201
Y  0.500  0.101  0.799
Y  0.500  0.500  0.000

Results
Symmetry: P-1 (2)


<2>
Material: LaTb2Y7
Method: DFT, PBE-GGA
State: relaxed

a b c (Å): 5.694 9.142 9.142
angles (deg): 122.23 90.00 90.00
Element x y z (fractional)
La  0.000  0.000  0.000
Tb  0.500  0.703  0.297
Tb  0.500  0.297  0.703
Y  0.000  0.775  0.225
Y  0.000  0.225  0.775
Y  0.500  0.060  0.295
Y  0.500  0.940  0.705
Y  0.500  0.295  0.060
Y  0.500  0.705  0.940
Y  0.500  0.500  0.500

Results
Symmetry: Cmmm (65)


Stability, highest: <1>


<1>
Material: LaTb8Y2
Method: DFT, PBE-GGA
State: relaxed

a b c (Å): 5.568 8.187 9.392
angles (deg): 115.83 107.24 90.00
Element x y z (fractional)
La  0.500  0.000  0.000
Tb  0.639  0.844  0.278
Tb  0.361  0.566  0.722
Tb  0.164  0.164  0.328
Tb  0.000  0.296  0.000
Tb  0.836  0.836  0.672
Tb  0.639  0.434  0.278
Tb  0.361  0.156  0.722
Tb  0.000  0.704  0.000
Y  0.200  0.700  0.400
Y  0.800  0.300  0.600

Results
Symmetry: Immm (71)


<2>
Material: LaTb8Y2
Method: DFT, PBE-GGA
State: relaxed

a b c (Å): 5.958 9.122 9.524
angles (deg): 61.39 73.48 53.59
Element x y z (fractional)
La  0.500  0.000  0.000
Tb  0.802  0.100  0.249
Tb  0.802  0.348  0.751
Tb  0.290  0.441  0.000
Tb  0.500  0.796  0.408
Tb  0.500  0.204  0.592
Tb  0.710  0.559  0.000
Tb  0.198  0.652  0.249
Tb  0.198  0.900  0.751
Y  0.000  0.310  0.379
Y  0.000  0.690  0.621

Results
Symmetry: C2/m (12)


Stability, highest: <1>


<1>
Material: La8Tb2Y
Method: DFT, PBE-GGA
State: relaxed

a b c (Å): 5.236 8.242 9.733
angles (deg): 104.57 105.60 90.00
Element x y z (fractional)
La  0.592  0.454  0.183
La  0.318  0.088  0.636
La  0.138  0.186  0.275
La  0.047  0.726  0.094
La  0.862  0.814  0.725
La  0.682  0.912  0.364
La  0.408  0.546  0.817
La  0.953  0.274  0.906
Tb  0.227  0.635  0.453
Tb  0.773  0.365  0.547
Y  0.500  0.000  0.000

Results
Symmetry: C2/m (12)


<2>
Material: La8Tb2Y
Method: DFT, PBE-GGA
State: relaxed

a b c (Å): 6.096 9.635 9.635
angles (deg): 122.29 105.81 105.81
Element x y z (fractional)
La  0.815  0.904  0.666
La  0.815  0.666  0.904
La  0.299  0.578  0.578
La  0.500  0.794  0.206
La  0.500  0.206  0.794
La  0.701  0.422  0.422
La  0.185  0.334  0.096
La  0.185  0.096  0.334
Tb  0.000  0.311  0.689
Tb  0.000  0.689  0.311
Y  0.500  0.000  0.000

Results
Symmetry: C2/m (12)


Stability, highest: <1>


<1>
Material: La2Tb4Y
Method: DFT, PBE-GGA
State: relaxed

a b c (Å): 5.570 5.570 9.585
angles (deg): 106.89 106.89 90.00
Element x y z (fractional)
La  0.625  0.625  0.250
La  0.375  0.375  0.750
Tb  0.823  0.823  0.646
Tb  0.177  0.177  0.354
Tb  0.000  0.500  0.000
Tb  0.500  0.000  0.000
Y  0.000  0.000  0.000

Results
Symmetry: I4/mmm (139)


<2>
Material: La2Tb4Y
Method: DFT, PBE-GGA
State: relaxed

a b c (Å): 8.866 8.079 7.232
angles (deg): 102.86 90.11 111.31
Element x y z (fractional)
La  0.337  0.820  0.767
La  0.485  0.256  0.627
La  0.767  0.104  0.339
La  0.340  0.820  0.269
Tb  0.770  0.108  0.839
Tb  0.912  0.537  0.697
Tb  0.628  0.678  0.482
Tb  0.193  0.390  0.409
Tb  0.484  0.255  0.127
Tb  0.628  0.677  0.982
Tb  0.192  0.389  0.911
Tb  0.052  0.965  0.554
Y  0.911  0.537  0.196
Y  0.052  0.965  0.052

Results
Symmetry: P1 (1)


Stability, highest: <2>


<1>
Material: La3Tb4Y5
Method: DFT, PBE-GGA
State: relaxed

a b c (Å): 5.995 8.657 9.724
angles (deg): 105.81 72.04 69.74
Element x y z (fractional)
La  0.518  0.689  0.275
La  0.000  0.500  0.500
La  0.482  0.311  0.725
Tb  0.859  0.222  0.060
Tb  0.166  0.041  0.627
Tb  0.834  0.959  0.373
Tb  0.141  0.778  0.940
Y  0.625  0.949  0.801
Y  0.500  0.500  0.500
Y  0.220  0.451  0.108
Y  0.780  0.549  0.892
Y  0.375  0.051  0.199

Results
Symmetry: C2/m (12)


<2>
Material: La3Tb4Y5
Method: DFT, PBE-GGA
State: relaxed

a b c (Å): 7.219 11.416 13.020
angles (deg): 151.29 56.55 129.08
Element x y z (fractional)
La  0.586  0.168  0.335
La  0.000  0.000  0.500
La  0.414  0.832  0.665
Tb  0.919  0.837  0.670
Tb  0.834  0.667  0.834
Tb  0.166  0.333  0.166
Tb  0.081  0.163  0.330
Y  0.333  0.667  0.835
Y  0.500  0.000  0.500
Y  0.748  0.502  0.002
Y  0.252  0.498  0.998
Y  0.667  0.333  0.165

Results
Symmetry: P-1 (2)


Stability, highest: <2>


<1>
Material: La4TbY5
Method: DFT, PBE-GGA
State: relaxed

a b c (Å): 5.830 10.832 10.842
angles (deg): 90.00 90.00 90.00
Element x y z (fractional)
La  0.624  0.000  0.705
La  0.624  0.705  0.000
La  0.624  0.295  0.000
La  0.624  0.000  0.295
La  0.376  0.500  0.205
La  0.376  0.795  0.500
La  0.376  0.205  0.500
La  0.376  0.500  0.795
Tb  0.613  0.000  0.000
Tb  0.387  0.500  0.500
Y  0.153  0.840  0.841
Y  0.153  0.160  0.841
Y  0.001  0.500  0.000
Y  0.153  0.840  0.159
Y  0.153  0.160  0.159
Y  0.847  0.660  0.341
Y  0.847  0.340  0.341
Y  0.999  0.000  0.500
Y  0.847  0.340  0.659
Y  0.847  0.660  0.659

Results
Symmetry: P4/nmm (129)


<2>
Material: La4TbY5
Method: DFT, PBE-GGA
State: relaxed

a b c (Å): 3.610 10.911 9.326
angles (deg): 101.76 101.16 90.00
Element x y z (fractional)
La  0.677  0.226  0.354
La  0.978  0.737  0.956
La  0.323  0.774  0.646
La  0.022  0.263  0.044
Tb  0.500  0.000  0.000
Y  0.162  0.913  0.324
Y  0.168  0.530  0.336
Y  0.832  0.470  0.664
Y  0.500  0.500  0.000
Y  0.838  0.087  0.676

Results
Symmetry: C2/m (12)


Stability, highest: <1>


<1>
Material: La8Tb2Y3
Method: DFT, PBE-GGA
State: relaxed

a b c (Å): 5.850 7.757 11.045
angles (deg): 110.59 90.01 90.00
Element x y z (fractional)
La  0.000  0.675  0.350
La  0.000  0.325  0.650
La  0.000  0.132  0.264
La  0.000  0.868  0.736
La  0.500  0.594  0.789
La  0.500  0.195  0.789
La  0.500  0.805  0.211
La  0.500  0.406  0.211
Tb  0.500  0.241  0.480
Tb  0.500  0.759  0.520
Y  0.500  0.000  0.000
Y  0.000  0.282  0.000
Y  0.000  0.718  0.000

Results
Symmetry: P2/m (10)


<2>
Material: La8Tb2Y3
Method: DFT, PBE-GGA
State: relaxed

a b c (Å): 6.191 9.049 9.049
angles (deg): 81.95 72.81 72.81
Element x y z (fractional)
La  0.262  0.585  0.585
La  0.738  0.415  0.415
La  0.884  0.139  0.139
La  0.116  0.861  0.861
La  0.650  0.598  0.076
La  0.650  0.076  0.598
La  0.350  0.924  0.402
La  0.350  0.402  0.924
Tb  0.321  0.314  0.314
Tb  0.679  0.686  0.686
Y  0.500  0.000  0.000
Y  0.000  0.271  0.729
Y  0.000  0.729  0.271

Results
Symmetry: C2/m (12)


Stability, highest: <2>